A plane-wave DFT calculation with PBE was carried out for a relaxed AlIn2Pb crystal.

a = 6.250 Å, b = 6.306 Å, c = 3.452 Å
α = 77.14°, β = 76.58°, γ = 119.38°
Element x y z (fractional)
Pb  0.000  0.500  0.500
Al  0.500  0.500  0.000
In  0.000  0.000  0.000
In  0.500  0.000  0.500

space group	P-1, No. 2
energy of formation	0.178	eV/atom
D(E_F)	1.9	states/eV/cell